A plane-wave DFT calculation with PBE was carried out for a geometry-optimized TbCd3In structure.

Calculated values
ΔE to the lowest computed polymorph: 12 meV per atom
Formation enthalpy at 0 K: -0.1503 eV/atom
Mass density: 7.88 g cm⁻³
Electronic total energy: -10.9 eV/f.u.

Cell: 4.876 31.569 3.345 Å, 90.00 90.00 90.00°
Space group Cmmm (No. 65)
Symmetry-distinct sites (fractional):
Tb 0.000 0.178 0.000 (multiplicity 4)
Cd 0.000 0.078 0.500 (multiplicity 4)
Cd 0.000 0.272 0.500 (multiplicity 4)
Cd 0.000 0.454 0.000 (multiplicity 4)
In 0.000 0.366 0.500 (multiplicity 4)

***

A plane-wave DFT calculation with PBE was carried out for a geometry-optimized AgIr3 structure.

Calculated values
Formation enthalpy at 0 K: 0.3861 eV/atom
Mass density: 18.74 g cm⁻³
Electronic total energy: -27.9 eV/f.u.

Cell: 5.540 7.969 2.748 Å, 90.00 90.00 90.00°
Space group Cmmm (No. 65)
Symmetry-distinct sites (fractional):
Ag 0.000 0.000 0.000 (multiplicity 2)
Ir 0.000 0.500 0.000 (multiplicity 2)
Ir 0.250 0.250 0.500 (multiplicity 4)

***

A plane-wave DFT calculation with PBE was carried out for a geometry-optimized LiHgRu2 structure.

Calculated values
Formation enthalpy at 0 K: 0.5239 eV/atom
Mass density: 10.79 g cm⁻³
Electronic total energy: -18.7 eV/f.u.

Cell: 2.7874 2.7874 28.0996 Å, 90.00 90.00 120.00°
Space group R-3m (No. 166, hexagonal axes)
Symmetry-distinct sites (fractional):
Li 0.0000 0.0000 0.0000 (multiplicity 3)
Hg 0.0000 0.0000 0.5000 (multiplicity 3)
Ru 0.0000 0.0000 0.2535 (multiplicity 6)

***

A plane-wave DFT calculation with PBE was carried out for a geometry-optimized K4PrPa3S12 structure.

Calculated values
Uncorrected formation energy: -1437 meV per atom
Mass density: 3.76 g cm⁻³
Electronic total energy: -115.9 eV/f.u.

Cell: 10.669 10.669 10.669 Å, 90.00 90.00 90.00°
Space group Im-3m (No. 229)
Symmetry-distinct sites (fractional):
K 0.250 0.250 0.250 (multiplicity 8)
Pr 0.000 0.000 0.000 (multiplicity 2)
Pa 0.000 0.000 0.500 (multiplicity 6)
S 0.000 0.000 0.261 (multiplicity 12)
S 0.000 0.250 0.500 (multiplicity 12)

***

A plane-wave DFT calculation with PBE was carried out for a geometry-optimized RbH2Br3 structure.

Calculated values
Mass density: 2.50 g cm⁻³
Electronic total energy: -17.1 eV/f.u.

Cell: 22.958 5.854 6.469 Å, 90.00 92.93 90.00°
Space group C2/m (No. 12)
Symmetry-distinct sites (fractional):
Rb 0.178 0.000 0.237 (multiplicity 4)
H 0.070 0.500 0.473 (multiplicity 4)
H 0.160 0.000 0.738 (multiplicity 4)
Br 0.067 0.500 0.251 (multiplicity 4)
Br 0.091 0.000 0.732 (multiplicity 4)
Br 0.243 0.000 0.748 (multiplicity 4)

***

A plane-wave DFT calculation with PBE was carried out for a geometry-optimized Ho5ZrIn4 structure.

Calculated values
Formation enthalpy at 0 K: -0.3544 eV/atom
Mass density: 8.67 g cm⁻³
Electronic total energy: -45.9 eV/f.u.

Cell: 3.481 3.481 21.730 Å, 90.00 90.00 90.00°
Space group P4/mmm (No. 123)
Symmetry-distinct sites (fractional):
Ho 0.000 0.000 0.000 (multiplicity 1)
Ho 0.000 0.000 0.198 (multiplicity 2)
Ho 0.000 0.000 0.396 (multiplicity 2)
Zr 0.500 0.500 0.500 (multiplicity 1)
In 0.500 0.500 0.099 (multiplicity 2)
In 0.500 0.500 0.296 (multiplicity 2)